First-principles (PBE-GGA) data for an optimized crystal structure of Mg2TcSe, as listed in Alexandria.

a = 3.0801 Å, b = 3.0801 Å, c = 9.0549 Å
α = 90.00°, β = 90.00°, γ = 116.27°
Last column: nearest neighbours and their distance in Å.
Element x y z (fractional)
Mg1 0.0000 0.0000 0.0000  2 Tc 2.74
Mg2 0.5000 0.5000 0.2898  2 Se 2.90, 6 Mg 3.08-3.09
Tc1 0.5000 0.5000 0.7565  2 Se 2.45
Se1 0.0000 0.0000 0.5548  2 Tc 2.45

Properties
As for the energy relative to the elements, uncorrected: 206 meV/atom. The symmetry is Cmm2 (35).